Entry from Alexandria via LeMat-Bulk: a relaxed structure of La2PbO (PBE).

Summary:
final energy = -6.250 eV per atom
formation energy (no corrections) = -1.62 eV per atom
magnetic moment = 0.00 μB per formula unit
distance to the lowest polymorph of the same formula = 0.78 eV/f.u.

a = 6.6866 Å, b = 6.5531 Å, c = 11.7378 Å
α = 90.00°, β = 115.28°, γ = 90.00°
With the nearest neighbours (Å) after each atom.
Space group P2/c (No. 13)
Unique sites:
La 0.0033 0.2460 0.0681 [4 per cell]  2 O 2.30-2.44
La 0.2882 0.1871 0.8245 [4 per cell]  2 O 2.37-2.41
Pb 0.4573 0.3142 0.3694 [4 per cell]  1 Pb 3.09, 4 La 3.36-3.44
O 0.0033 0.0911 0.6221 [4 per cell]  4 La 2.30-2.44



Entry from Alexandria via LeMat-Bulk: a relaxed structure of La2HgRh (PBE).

Summary:
final energy = -4.795 eV per atom
magnetic moment = 0.00 μB per formula unit

a = 7.1971 Å, b = 7.1971 Å, c = 7.1971 Å
α = 90.00°, β = 90.00°, γ = 90.00°
With the nearest neighbours (Å) after each atom.
Space group F-43m (No. 216)
Unique sites:
La 0.0000 0.0000 0.0000 [4 per cell]  4 La 3.12, 4 Rh 3.12
La 0.2500 0.2500 0.2500 [4 per cell]  4 Hg 3.12, 4 La 3.12
Hg 0.0000 0.0000 0.5000 [4 per cell]  4 Rh 3.12, 4 La 3.12
Rh 0.2500 0.2500 0.7500 [4 per cell]  4 Hg 3.12, 4 La 3.12



Entry from Alexandria via LeMat-Bulk: a relaxed structure of MgInAgHg (PBE).

Summary:
final energy = -1.915 eV per atom
magnetic moment = 0.00 μB per formula unit
distance to the lowest polymorph of the same formula = 0.05 eV/f.u.

a = 7.0069 Å, b = 7.0069 Å, c = 7.0069 Å
α = 90.00°, β = 90.00°, γ = 90.00°
With the nearest neighbours (Å) after each atom.
Space group F-43m (No. 216)
Unique sites:
Mg 0.0000 0.0000 0.0000 [4 per cell]  4 Ag 3.03, 4 Hg 3.03
In 0.0000 0.0000 0.5000 [4 per cell]  4 Hg 3.03, 4 Ag 3.03
Ag 0.2500 0.2500 0.7500 [4 per cell]  4 In 3.03, 4 Mg 3.03
Hg 0.2500 0.2500 0.2500 [4 per cell]  4 In 3.03, 4 Mg 3.03